1.
A plane-wave DFT calculation with PBE-GGA was carried out for LiPrZnCu2 after structural relaxation.

The space group is I-4m2 (No. 119) and the conventional cell measures 3.917, 3.917 and 11.939 Å, with angles of 90.00, 90.00 and 90.00 degrees. The distinct sites, in fractional coordinates, are Li at (0.000, 0.000, 0.000), Pr at (0.000, 0.500, 0.750), Zn at (0.000, 0.000, 0.500) and Cu at (0.000, 0.500, 0.144).

=====

2.
A plane-wave DFT calculation with PBE-GGA was carried out for LiPr2Zn12Cu3 after structural relaxation.

The space group is R-3m (No. 166, hexagonal axes) and the conventional cell measures 9.3460, 9.3460 and 12.3972 Å, with angles of 90.00, 90.00 and 120.00 degrees. The distinct sites, in fractional coordinates, are Li at (0.0000, 0.0000, 0.0000), Pr at (0.0000, 0.0000, 0.2466), Zn at (0.0219, 0.5110, 0.7060), Zn at (0.0636, 0.5318, 0.0984) and Cu at (0.0000, 0.5000, 0.5000).

=====

| no. | DFT formation energy (eV per atom) | DOS at the Fermi energy (states/eV/f.u.) |
| --- | --- | --- |
| 1 | -0.1664 | 2.94 |
| 2 | -0.0081 | 8.20 |